No. 1
{
  "formula": "RbTmTl4",
  "functional": "GGA-PBE",
  "state": "relaxed",
  "lattice": [[3.939, -0.088, 0.181], [0.517, 3.953, 0.193], [0.532, 0.411, 12.702]],
  "species": ["Tl", "Tl", "Tl", "Tl", "Rb", "Tm"],
  "fractional_positions": [[0.477, 0.976, 0.359], [0.042, 0.541, 0.786], [0.523, 0.024, 0.641], [0.958, 0.459, 0.214], [0.500, 0.000, 0.000], [0.000, 0.500, 0.500]],
  "space_group": "P-1 (2)"
}

***

No. 2
{
  "formula": "TbLuGa4",
  "functional": "GGA-PBE",
  "state": "relaxed",
  "lattice": [[-4.601, 2.908, 0.654], [-4.324, -0.946, -3.235], [-4.486, -2.392, 2.050]],
  "species": ["Ga", "Ga", "Ga", "Ga", "Lu", "Tb"],
  "fractional_positions": [[0.125, 0.625, 0.625], [0.625, 0.625, 0.625], [0.625, 0.125, 0.625], [0.625, 0.625, 0.125], [0.250, 0.250, 0.250], [0.000, 0.000, 0.000]],
  "space_group": "F-43m (216)"
}

***

no.,spin magnetization (μB/cell),energy relative to the elements (kJ per mole of atoms)
1,0.000,-10.2
2,0.000,-50.6